1.
Here is a relaxed DyY2Tm2 crystal from the Alexandria database. Energies are from PBE.

abc: 6.114 7.066 14.983
angles: 90.00 105.81 90.00
Positions (direct):
Dy 0.450 0.375 0.301
Dy 0.950 0.125 0.301
Dy 0.550 0.625 0.699
Dy 0.050 0.875 0.699
Tm 0.350 0.125 0.900
Tm 0.751 0.125 0.500
Tm 0.850 0.375 0.900
Tm 0.150 0.625 0.100
Tm 0.251 0.375 0.500
Tm 0.650 0.875 0.100
Tm 0.249 0.875 0.500
Tm 0.749 0.625 0.500
Y 0.951 0.625 0.301
Y 0.350 0.625 0.900
Y 0.451 0.875 0.301
Y 0.850 0.875 0.900
Y 0.049 0.375 0.699
Y 0.650 0.375 0.100
Y 0.150 0.125 0.100
Y 0.549 0.125 0.699

excess energy over the best structure of this formula in the dataset = 0.0 meV per atom
Fermi-level density of states = 27.2 states/eV per cell
size of the total moment = 0.0 μB/f.u.
formation enthalpy at 0 K = 0.125 eV per formula unit

2.
Here is a relaxed Dy5Y2Tm4 crystal from the Alexandria database. Energies are from PBE.

abc: 3.475 8.896 12.537
angles: 110.78 97.97 90.00
Positions (direct):
Tm 0.000 0.687 0.000
Tm 0.597 0.597 0.194
Tm 0.403 0.403 0.806
Tm 0.000 0.313 0.000
Dy 0.858 0.054 0.716
Dy 0.500 0.000 0.000
Dy 0.142 0.339 0.284
Dy 0.858 0.661 0.716
Dy 0.142 0.946 0.284
Y 0.268 0.268 0.537
Y 0.732 0.732 0.463

excess energy over the best structure of this formula in the dataset = 68.5 meV per atom
Fermi-level density of states = 16.7 states/eV per cell
size of the total moment = 0.0 μB/f.u.
formation enthalpy at 0 K = 2.359 eV per formula unit

3.
Here is a relaxed Dy4YTm7 crystal from the Alexandria database. Energies are from PBE.

abc: 6.744 8.582 8.896
angles: 84.28 95.23 48.07
Positions (direct):
Tm 0.976 0.318 0.644
Tm 0.295 0.812 0.614
Tm 0.267 0.484 0.049
Tm 0.024 0.682 0.356
Tm 0.500 0.000 0.000
Tm 0.705 0.188 0.386
Tm 0.733 0.516 0.951
Dy 0.559 0.638 0.288
Dy 0.780 0.836 0.689
Dy 0.441 0.362 0.712
Dy 0.220 0.164 0.311
Y 0.000 0.000 0.000

excess energy over the best structure of this formula in the dataset = 0.0 meV per atom
Fermi-level density of states = 20.7 states/eV per cell
size of the total moment = 0.0 μB/f.u.
formation enthalpy at 0 K = 1.085 eV per formula unit

4.
Here is a relaxed DyYTm3 crystal from the Alexandria database. Energies are from PBE.

abc: 9.501 6.633 6.216
angles: 62.12 109.15 84.13
Positions (direct):
Tm 0.749 0.450 0.918
Tm 0.450 0.949 0.685
Tm 0.251 0.950 0.082
Tm 0.950 0.450 0.517
Tm 0.550 0.451 0.315
Tm 0.050 0.950 0.483
Dy 0.350 0.451 0.715
Dy 0.650 0.949 0.285
Y 0.850 0.951 0.884
Y 0.150 0.449 0.116

Fermi-level density of states = 17.8 states/eV per cell
size of the total moment = 0.0 μB/f.u.
formation enthalpy at 0 K = 0.001 eV per formula unit

5.
Here is a relaxed Dy8YTm2 crystal from the Alexandria database. Energies are from PBE.

abc: 5.886 9.048 9.412
angles: 61.27 73.27 53.21
Positions (direct):
Y 0.500 0.000 0.000
Dy 0.801 0.346 0.751
Dy 0.199 0.903 0.751
Dy 0.199 0.654 0.249
Dy 0.500 0.204 0.592
Dy 0.286 0.447 0.000
Dy 0.801 0.097 0.249
Dy 0.714 0.553 0.000
Dy 0.500 0.796 0.408
Tm 0.000 0.689 0.622
Tm 0.000 0.311 0.378

excess energy over the best structure of this formula in the dataset = 0.0 meV per atom
Fermi-level density of states = 14.2 states/eV per cell
size of the total moment = 0.0 μB/f.u.
formation enthalpy at 0 K = 1.672 eV per formula unit

6.
Here is a relaxed Dy2YTm5 crystal from the Alexandria database. Energies are from PBE.

abc: 6.625 9.496 11.001
angles: 64.46 120.88 120.79
Positions (direct):
Tm 0.427 0.136 0.678
Tm 0.677 0.385 0.928
Tm 0.555 0.762 0.803
Tm 0.573 0.864 0.322
Tm 0.820 0.114 0.574
Tm 0.800 0.009 0.052
Tm 0.445 0.238 0.197
Tm 0.200 0.991 0.948
Tm 0.323 0.615 0.072
Tm 0.180 0.886 0.426
Dy 0.072 0.363 0.824
Dy 0.698 0.489 0.447
Dy 0.302 0.511 0.553
Dy 0.928 0.637 0.176
Y 0.050 0.259 0.303
Y 0.950 0.741 0.697

excess energy over the best structure of this formula in the dataset = 0.0 meV per atom
Fermi-level density of states = 27.7 states/eV per cell
size of the total moment = 0.0 μB/f.u.
formation enthalpy at 0 K = -0.001 eV per formula unit

7.
Here is a relaxed Dy6Y8Tm crystal from the Alexandria database. Energies are from PBE.

abc: 9.714 9.714 8.140
angles: 53.37 53.37 60.00
Positions (direct):
Y 0.929 0.355 0.486
Y 0.230 0.929 0.486
Y 0.770 0.071 0.514
Y 0.355 0.230 0.486
Y 0.412 0.412 0.765
Y 0.645 0.770 0.514
Y 0.588 0.588 0.235
Y 0.071 0.645 0.514
Dy 0.933 0.714 0.966
Dy 0.067 0.286 0.034
Dy 0.387 0.933 0.966
Dy 0.613 0.067 0.034
Dy 0.714 0.387 0.966
Dy 0.286 0.613 0.034
Tm 0.000 0.000 0.000

excess energy over the best structure of this formula in the dataset = 57.1 meV per atom
Fermi-level density of states = 21.3 states/eV per cell
size of the total moment = 0.0 μB/f.u.
formation enthalpy at 0 K = 2.770 eV per formula unit

8.
Here is a relaxed Dy4Y5Tm2 crystal from the Alexandria database. Energies are from PBE.

abc: 3.540 9.382 11.763
angles: 106.46 81.41 112.21
Positions (direct):
Tm 0.135 0.725 0.180
Tm 0.865 0.275 0.820
Y 0.046 0.910 0.727
Y 0.410 0.183 0.548
Y 0.954 0.090 0.273
Y 0.500 0.000 0.000
Y 0.590 0.817 0.452
Dy 0.319 0.365 0.091
Dy 0.681 0.635 0.909
Dy 0.227 0.546 0.637
Dy 0.773 0.454 0.363

excess energy over the best structure of this formula in the dataset = 0.0 meV per atom
Fermi-level density of states = 15.4 states/eV per cell
size of the total moment = 0.0 μB/f.u.
formation enthalpy at 0 K = 0.255 eV per formula unit

9.
Here is a relaxed Dy2Y4Tm7 crystal from the Alexandria database. Energies are from PBE.

abc: 9.318 7.877 6.096
angles: 97.46 96.29 65.09
Positions (direct):
Dy 0.384 0.694 0.847
Dy 0.616 0.306 0.153
Tm 0.000 0.000 0.000
Tm 0.309 0.153 0.077
Tm 0.923 0.461 0.229
Tm 0.077 0.539 0.771
Tm 0.461 0.230 0.617
Tm 0.691 0.847 0.923
Tm 0.539 0.770 0.383
Y 0.846 0.922 0.462
Y 0.768 0.387 0.692
Y 0.154 0.078 0.538
Y 0.232 0.613 0.308

Fermi-level density of states = 18.8 states/eV per cell
size of the total moment = 0.0 μB/f.u.
formation enthalpy at 0 K = 0.363 eV per formula unit

10.
Here is a relaxed DyY2Tm5 crystal from the Alexandria database. Energies are from PBE.

abc: 8.952 16.557 10.699
angles: 90.03 89.98 161.36
Positions (direct):
Tm 0.425 0.682 0.750
Tm 0.315 0.027 0.589
Tm 0.315 0.027 0.912
Tm 0.527 0.326 0.916
Tm 0.575 0.318 0.250
Tm 0.526 0.325 0.584
Tm 0.473 0.674 0.084
Tm 0.474 0.675 0.416
Tm 0.685 0.973 0.411
Tm 0.685 0.973 0.088
Y 0.781 0.618 0.394
Y 0.781 0.618 0.106
Y 0.219 0.382 0.894
Y 0.219 0.382 0.606
Dy 0.755 0.190 0.250
Dy 0.245 0.810 0.750

excess energy over the best structure of this formula in the dataset = 177.6 meV per atom
Fermi-level density of states = 24.7 states/eV per cell
size of the total moment = 0.0 μB/f.u.
formation enthalpy at 0 K = 1.651 eV per formula unit